# 1
This record from the Alexandria database describes crystalline Y2Si2Os at its relaxed geometry. The functional is GGA-PBE.

Structure (POSCAR):
```
Y2Si2Os
1.0
-2.969 5.916 -0.095
-5.915 -2.965 0.209
0.095 0.117 4.346
Si Y Os
4 4 2
direct
0.369 0.869 0.000
0.869 0.631 0.000
0.631 0.131 0.000
0.131 0.369 0.000
0.323 0.177 0.500
0.177 0.677 0.500
0.677 0.823 0.500
0.823 0.323 0.500
0.000 0.000 0.000
0.500 0.500 0.000
```

Calculated values
For the total magnetization, the calculation gives 0.0 μB per formula unit. Its space group is P4/mbm (127). Its theoretical density is 7.4 g cm⁻³. As for the total energy: -77.193 eV/cell.

=====

# 2
This record from the Alexandria database describes crystalline BaCa3Pd at its relaxed geometry. The functional is GGA-PBE.

Structure (POSCAR):
```
BaCa3Pd
1.0
6.591 0.000 0.000
0.000 6.591 0.000
3.295 3.295 9.984
Ca Pd Ba
6 2 2
direct
0.294 0.294 0.413
0.130 0.878 0.741
0.122 0.870 0.259
0.130 0.382 0.741
0.618 0.870 0.259
0.706 0.706 0.587
0.000 0.000 0.000
0.250 0.750 0.500
0.547 0.047 0.906
0.953 0.453 0.094
```

Calculated values
The formation energy is -8.48 kJ/mol of atoms. For the total magnetization, the calculation gives 0.0 μB per formula unit. Its space group is I-4m2 (119). Its theoretical density is 2.8 g cm⁻³. The calculation puts the energy above the most stable polymorph in this dataset at 223.3 meV/atom.

=====

# 3
This record from the Alexandria database describes crystalline VCoNi2Pt2 at its relaxed geometry. The functional is GGA-PBE.

Structure (POSCAR):
```
VCoNi2Pt2
1.0
-0.745 -5.018 -1.103
5.066 -0.516 -1.075
-1.087 1.345 6.831
V Co Ni Pt
2 2 4 4
direct
0.000 0.750 0.000
0.000 0.250 0.000
0.500 0.750 0.000
0.500 0.250 0.000
0.603 0.861 0.722
0.881 0.639 0.278
0.119 0.361 0.722
0.397 0.139 0.278
0.094 0.846 0.692
0.402 0.654 0.308
0.906 0.154 0.308
0.598 0.346 0.692
```

Calculated values
The formation energy is -9.03 kJ/mol of atoms. For the total magnetization, the calculation gives 2.0 μB per formula unit. Its space group is Ibam (72). Its theoretical density is 12.6 g cm⁻³.

=====

# 4
This record from the Alexandria database describes crystalline Y2Ho5Th at its relaxed geometry. The functional is GGA-PBE.

Structure (POSCAR):
```
Y2Ho5Th
1.0
-4.352 2.470 -0.339
-1.163 -2.922 -6.353
-6.665 -10.887 6.227
Y Th Ho
4 2 10
direct
0.500 0.254 0.124
0.500 0.754 0.376
0.500 0.246 0.624
0.500 0.746 0.876
0.000 0.000 0.500
0.000 0.500 0.000
0.000 0.000 0.000
0.000 0.500 0.751
0.500 0.755 0.623
0.000 0.000 0.749
0.500 0.745 0.123
0.000 0.500 0.249
0.000 0.500 0.500
0.000 0.000 0.251
0.500 0.255 0.877
0.500 0.245 0.377
```

Calculated values
The formation energy is 2.84 kJ/mol of atoms. For the total magnetization, the calculation gives 0.0 μB per formula unit. Its space group is Pbam (55). Its theoretical density is 8.1 g cm⁻³. The calculation puts the energy above the most stable polymorph in this dataset at 0.0 meV/atom.

=====

# 5
This record from the Alexandria database describes crystalline ZrIn at its relaxed geometry. The functional is GGA-PBE.

Structure (POSCAR):
```
ZrIn
1.0
-0.538 2.711 1.472
0.545 -6.237 11.685
7.565 1.312 0.348
In Zr
6 6
direct
0.000 0.000 0.895
0.000 0.746 0.826
0.000 0.254 0.826
0.000 0.754 0.326
0.000 0.500 0.395
0.000 0.246 0.326
0.000 0.000 0.295
0.500 0.388 0.080
0.500 0.888 0.580
0.500 0.612 0.080
0.000 0.500 0.795
0.500 0.112 0.580
```

Calculated values
The formation energy is 4.30 kJ/mol of atoms. For the total magnetization, the calculation gives 0.0 μB per formula unit. Its space group is Amm2 (38). Its theoretical density is 6.4 g cm⁻³.

=====

# 6
This record from the Alexandria database describes crystalline CsMn2TcCl8 at its relaxed geometry. The functional is GGA-PBE.

Structure (POSCAR):
```
CsMn2TcCl8
1.0
7.192 0.000 0.000
3.596 6.229 0.000
3.596 2.076 9.627
Cl Mn Tc Cs
8 2 1 1
direct
0.597 0.146 0.655
0.146 0.602 0.655
0.315 0.315 0.055
0.403 0.398 0.345
0.602 0.597 0.655
0.854 0.403 0.345
0.685 0.685 0.945
0.398 0.854 0.345
0.236 0.236 0.291
0.764 0.764 0.709
0.500 0.500 0.500
0.000 0.000 0.000
```

Calculated values
For the total magnetization, the calculation gives 8.0 μB per formula unit. Its space group is R32 (155). Its theoretical density is 2.4 g cm⁻³. As for the total energy: -56.003 eV/cell.

=====

# 7
This record from the Alexandria database describes crystalline TlZnSb4 at its relaxed geometry. The functional is GGA-PBE.

Structure (POSCAR):
```
TlZnSb4
1.0
0.000 4.463 4.463
4.463 0.000 4.463
4.463 4.463 0.000
Sb Tl Zn
4 1 1
direct
0.878 0.374 0.374
0.374 0.878 0.374
0.374 0.374 0.374
0.374 0.374 0.878
0.750 0.750 0.750
0.000 0.000 0.000
```

Calculated values
For the total magnetization, the calculation gives 0.0 μB per formula unit. Its space group is F-43m (216). Its theoretical density is 7.1 g cm⁻³. As for the total energy: -18.837 eV/cell.

=====

# 8
This record from the Alexandria database describes crystalline Ni2Rh8W at its relaxed geometry. The functional is GGA-PBE.

Structure (POSCAR):
```
Ni2Rh8W
1.0
3.995 0.224 -0.147
-0.416 6.067 -2.007
0.211 0.422 6.387
Ni Rh W
2 8 1
direct
0.000 0.386 0.614
0.000 0.614 0.386
0.500 0.667 0.667
0.500 0.743 0.257
0.000 0.037 0.300
0.500 0.257 0.743
0.000 0.963 0.700
0.500 0.333 0.333
0.000 0.300 0.037
0.000 0.700 0.963
0.500 0.000 0.000
```

Calculated values
The formation energy is 9.67 kJ/mol of atoms. For the total magnetization, the calculation gives 0.0 μB per formula unit. Its space group is Cmmm (65). Its theoretical density is 11.8 g cm⁻³.

=====

# 9
This record from the Alexandria database describes crystalline ZnSb2Pd2 at its relaxed geometry. The functional is GGA-PBE.

Structure (POSCAR):
```
ZnSb2Pd2
1.0
-2.253 -4.723 -6.040
7.658 -1.076 -2.015
0.152 -2.562 1.946
Pd Sb Zn
4 4 2
direct
0.876 0.376 0.500
0.624 0.876 0.500
0.124 0.624 0.500
0.376 0.124 0.500
0.330 0.830 0.000
0.670 0.170 0.000
0.830 0.670 0.000
0.170 0.330 0.000
0.500 0.500 0.000
0.000 0.000 0.000
```

Calculated values
For the total magnetization, the calculation gives 0.0 μB per formula unit. Its space group is P4/mbm (127). Its theoretical density is 8.4 g cm⁻³. The calculation puts the energy above the most stable polymorph in this dataset at 107.4 meV/atom.

=====

# 10
This record from the Alexandria database describes crystalline Ba2CeSe3 at its relaxed geometry. The functional is GGA-PBE.

Structure (POSCAR):
```
Ba2CeSe3
1.0
-3.088 -3.275 -0.176
1.265 -1.523 6.131
-3.916 6.837 -0.879
Ba Se Ce
2 3 1
direct
0.830 0.830 0.161
0.170 0.170 0.839
0.500 0.000 0.500
0.851 0.351 0.202
0.149 0.649 0.798
0.500 0.500 0.500
```

Calculated values
For the total magnetization, the calculation gives 1.3 μB per formula unit. Its space group is Immm (71). Its theoretical density is 5.4 g cm⁻³. As for the total energy: -31.565 eV/cell.

=====

# 11
This record from the Alexandria database describes crystalline TaCuRh at its relaxed geometry. The functional is GGA-PBE.

Structure (POSCAR):
```
TaCuRh
1.0
-2.844 -2.880 1.152
0.311 -1.881 3.752
-2.779 0.884 3.034
Cu Rh Ta
1 1 1
direct
0.500 0.500 0.500
0.750 0.750 0.750
0.000 0.000 0.000
```

Calculated values
The formation energy is 16.79 kJ/mol of atoms. For the total magnetization, the calculation gives 0.0 μB per formula unit. Its space group is F-43m (216). Its theoretical density is 10.9 g cm⁻³. The calculation puts the energy above the most stable polymorph in this dataset at 489.5 meV/atom.

=====

# 12
This record from the Alexandria database describes crystalline Pr3AlGa3 at its relaxed geometry. The functional is GGA-PBE.

Structure (POSCAR):
```
Pr3AlGa3
1.0
4.425 0.000 0.667
2.181 5.707 0.542
0.162 0.070 13.948
Al Pr Ga
2 6 6
direct
0.232 0.931 0.606
0.768 0.069 0.394
0.481 0.658 0.380
0.391 0.292 0.926
0.519 0.342 0.620
0.741 0.745 0.774
0.609 0.708 0.074
0.259 0.255 0.226
0.140 0.264 0.456
0.896 0.131 0.077
0.970 0.830 0.229
0.030 0.170 0.771
0.104 0.869 0.923
0.860 0.736 0.544
```

Calculated values
The formation energy is -55.84 kJ/mol of atoms. For the total magnetization, the calculation gives 0.0 μB per formula unit. Its space group is C2/m (12). Its theoretical density is 6.2 g cm⁻³.